(1)
# CuF2

A relaxed CuF2 crystal (PBE, OQMD).

```
CuF2
1.0
-2.2267 1.6094 1.5036
-2.0674 -1.5150 1.7999
4.6074 0.8000 5.9568
Cu F
2 4
Cartesian
0.8772 0.4317 4.0795
-2.8639 0.0633 2.2072
2.8470 0.4957 3.6956
-1.0978 0.3667 4.4562
2.6111 0.7358 6.3537
-3.7373 0.1899 4.0108
```

Summary:
DFT total energy = -22.74 eV/cell
SG = Cmc2_1 (36)
Crystal system = orthorhombic

(2)
# LuTlZnS3

A relaxed LuTlZnS3 crystal (PBE, OQMD).

```
LuTlZnS3
1.0
-8.1071 4.7297 11.0578
-2.9503 -2.2870 -1.1848
3.6557 -7.8424 6.0346
S Lu Tl Zn
12 4 4 4
Cartesian
-5.9770 -1.0331 13.6409
-2.7958 -0.8263 5.3204
-3.9881 -1.0919 8.8019
-1.4247 -4.3665 2.2666
-6.2004 -4.6601 14.7254
-0.9450 -5.4970 9.7272
-4.6058 -4.5733 10.5872
-6.4567 0.0974 6.1803
-3.4135 -4.3077 7.1056
-1.2012 -0.7395 1.1822
-6.8851 1.6153 10.7902
-0.5165 -7.0150 5.1174
2.1731 -7.1012 5.0596
-9.5747 1.7016 10.8480
-2.5838 -3.2276 9.4275
-4.8179 -2.1720 6.4801
-6.6730 -1.7304 10.2472
-3.2584 -4.5733 13.7046
-4.1433 -0.8263 2.2029
-0.7286 -3.6692 5.6604
-7.2309 0.9276 12.9785
-0.1708 -6.3272 2.9291
-4.2805 0.9293 5.6286
-3.1211 -6.3289 10.2790
```

Summary:
Energy relative to the lowest polymorph listed for this composition = 0.09 eV per formula unit
SG = Pnma (62)
Crystal system = orthorhombic

(3)
# BePtSO

A relaxed BePtSO crystal (PBE, OQMD).

```
BePtSO
1.0
-1.1659 -3.2238 2.0283
1.9289 -2.3288 -2.5927
5.3377 0.3629 3.6450
S O Be Pt
2 2 2 2
Cartesian
1.8619 -1.2745 1.0001
4.2388 -3.9152 2.0805
2.9494 -4.0028 1.2000
3.1513 -1.1868 1.8806
1.6865 -4.0887 0.3376
4.4142 -1.1010 2.7430
1.1552 -2.5526 -1.4375
-0.3922 -3.0001 0.8730
```

Summary:
Energy relative to the lowest polymorph listed for this composition = 2.26 eV per formula unit
SG = P4/nmm (129)
Crystal system = tetragonal

(4)
# Cs2TaTlO4

A relaxed Cs2TaTlO4 crystal (PBE, OQMD).

```
Cs2TaTlO4
1.0
-3.1729 4.3606 3.3889
3.1729 -4.3606 3.3889
3.1729 4.3606 -3.3889
Cs O Ta Tl
2 4 1 1
Cartesian
3.1729 2.2164 0.3882
0.0000 2.1442 3.7772
1.6460 0.0000 2.2739
0.0000 2.8096 0.9984
1.5269 4.3606 -1.1151
0.0000 5.9115 0.9984
3.1729 0.0000 3.3611
0.0000 0.0000 0.5083
```

Summary:
DFT total energy = -52.10 eV/cell
SG = Imm2 (44)
Crystal system = orthorhombic

(5)
# YErZn2Ga2

A relaxed YErZn2Ga2 crystal (PBE, OQMD).

```
YErZn2Ga2
1.0
-0.6131 -3.5150 -2.5863
3.8130 0.5168 2.1481
-2.6400 -3.6303 5.5597
Zn Y Er Ga
2 1 1 2
Cartesian
2.2433 -0.9567 0.7685
-0.5415 -4.1013 1.9480
-1.9783 -2.7203 4.1661
-0.6581 -0.9049 1.3858
-1.6959 -5.6887 4.3790
1.1101 -2.5151 3.1551
```

Summary:
DFT total energy = -23.16 eV/cell
SG = P3m1 (156)
Crystal system = trigonal

(6)
# Ho8Cu

A relaxed Ho8Cu crystal (PBE, OQMD).

```
Ho8Cu
1.0
-6.0302 -3.3509 5.9182
-0.4594 -2.3377 -8.7716
2.1790 -2.8033 0.6330
Ho Cu
8 1
Cartesian
-0.3993 -2.2290 1.7776
-3.0838 -4.4148 1.3381
-1.2268 -4.0771 -3.5585
0.9761 -1.9788 -1.8491
-3.6780 -2.0438 3.6097
-2.5314 -2.2189 -1.1130
-0.2802 -1.4259 -5.3501
-3.7979 -5.6858 -1.8325
0.0000 0.0000 0.0000
```

Summary:
Formation enthalpy at 0 K = -0.05 eV/atom
SG = P-62m (189)
Crystal system = hexagonal